Compound: TcIrW2
Source: the Alexandria database
Functional: PBE
Structure: optimized geometry Values from VASP.

```
&SYSTEM
  ibrav = 0, nat = 4, ntyp = 3
/
ATOMIC_SPECIES
W 183.84 W.upf
Tc 98.00 Tc.upf
Ir 192.22 Ir.upf
CELL_PARAMETERS angstrom
-3.020 -3.087 -2.274
1.011 -4.627 1.178
-0.756 4.014 2.673
ATOMIC_POSITIONS crystal
W 0.000 0.000 0.000
W 0.750 0.250 0.500
Tc 0.250 0.750 0.500
Ir 0.500 0.500 0.000
```

Values from the calculation:
DFT formation energy (kcal/mol of atoms): -0.45
ΔE to the lowest computed polymorph (eV per formula unit): 0.20
Final energy (eV per atom): -11.303

---

Compound: Tb2AgHg2
Source: the Alexandria database
Functional: PBE
Structure: optimized geometry Values from VASP.

```
&SYSTEM
  ibrav = 0, nat = 10, ntyp = 3
/
ATOMIC_SPECIES
Ag 107.87 Ag.upf
Tb 158.93 Tb.upf
Hg 200.59 Hg.upf
CELL_PARAMETERS angstrom
-0.901 0.929 5.841
-3.686 -5.665 0.332
7.590 -0.999 -1.734
ATOMIC_POSITIONS crystal
Ag 0.750 0.500 0.000
Ag 0.250 0.500 0.000
Tb 0.835 0.095 0.670
Tb 0.335 0.575 0.670
Tb 0.165 0.905 0.330
Tb 0.665 0.425 0.330
Hg 0.096 0.264 0.191
Hg 0.904 0.736 0.809
Hg 0.404 0.073 0.809
Hg 0.596 0.927 0.191
```

Values from the calculation:
DFT formation energy (kcal/mol of atoms): -5.81
ΔE to the lowest computed polymorph (eV per formula unit): 0.47
Final energy (eV per atom): -2.795

---

Compound: CaHI3
Source: the Alexandria database
Functional: PBE
Structure: optimized geometry Values from VASP.

```
&SYSTEM
  ibrav = 0, nat = 5, ntyp = 3
/
ATOMIC_SPECIES
H 1.01 H.upf
I 126.90 I.upf
Ca 40.08 Ca.upf
CELL_PARAMETERS angstrom
-2.846 -0.295 -4.446
-4.137 -1.785 2.766
-1.656 4.968 0.730
ATOMIC_POSITIONS crystal
H 0.000 0.000 0.000
I 0.500 0.000 0.000
I 0.000 0.000 0.500
I 0.000 0.500 0.000
Ca 0.500 0.500 0.500
```

Values from the calculation:
ΔE to the lowest computed polymorph (eV per formula unit): 0.50
Final energy (eV per atom): -2.206

---

- ΔE to the lowest computed polymorph of number 2 (Tb2AgHg2)?
  0.47 eV per formula unit